First-principles (PBE with a Hubbard U) data for a relaxed structure of V2CrGaO8, as listed in the Alexandria database.

Total magnetic moment ... 3.000 μB per formula unit
E_tot ... -7.048 eV per atom

CIF file:
```
data_V2CrGaO8
_cell_length_a 5.645
_cell_length_b 5.645
_cell_length_c 5.645
_cell_angle_alpha 110.64
_cell_angle_beta 110.64
_cell_angle_gamma 107.16
_symmetry_space_group_name_H-M 'P 1'
_symmetry_Int_Tables_number 1
loop_
_symmetry_equiv_pos_as_xyz
'x,y,z'
loop_
_atom_site_label
_atom_site_type_symbol
_atom_site_fract_x
_atom_site_fract_y
_atom_site_fract_z
_atom_site_occupancy
V1 V 0.000 0.000 0.000 1
V2 V 0.750 0.250 0.500 1
Cr1 Cr 0.250 0.750 0.500 1
Ga1 Ga 0.500 0.500 0.000 1
O1 O 0.048 0.837 0.212 1
O2 O 0.125 0.409 0.715 1
O3 O 0.163 0.375 0.212 1
O4 O 0.163 0.952 0.788 1
O5 O 0.591 0.306 0.715 1
O6 O 0.591 0.875 0.285 1
O7 O 0.625 0.837 0.788 1
O8 O 0.694 0.409 0.285 1
```